A plane-wave DFT calculation with PBE was carried out for an optimized crystal structure of ReSn2Hg.

Cell lengths 3.002, 3.002, 12.046 Å; angles 82.84, 82.84, 60.00 degrees
Fractional coordinates of all 4 atoms:
Sn  0.922  0.922  0.233
Sn  0.078  0.078  0.767
Hg  0.500  0.500  0.500
Re  0.000  0.000  0.000

Values from the calculation:
ρ = 11.143 Mg/m³
DFT formation energy = 0.72 eV per atom

=====

A plane-wave DFT calculation with PBE was carried out for an optimized crystal structure of ReSn3Hg.

Cell lengths 5.449, 5.449, 5.449 Å; angles 90.00, 90.00, 90.00 degrees
Last column: magnetic moment on the atom in μB.
Fractional coordinates of all 5 atoms:
Hg  0.000  0.000  0.000  0.01
Sn  0.000  0.500  0.000  -0.08
Sn  0.000  0.000  0.500  -0.04
Re  0.500  0.500  0.500  3.39
Sn  0.500  0.000  0.000  -0.07

Values from the calculation:
ρ = 7.625 Mg/m³
excess energy over the best structure of this formula in the dataset = 1379 meV/atom
DFT formation energy = 1.64 eV per atom

=====

A plane-wave DFT calculation with PBE was carried out for an optimized crystal structure of Re2SnHg.

Cell lengths 7.617, 7.617, 6.033 Å; angles 50.86, 50.86, 90.00 degrees
Last column: magnetic moment on the atom in μB.
Fractional coordinates of all 8 atoms:
Re  0.375  0.389  0.750  0.75
Hg  0.750  0.250  0.500  0.00
Sn  0.500  0.500  0.000  -0.01
Re  0.139  0.625  0.250  0.75
Re  0.875  0.861  0.750  0.75
Sn  0.250  0.750  0.500  -0.01
Re  0.611  0.125  0.250  0.75
Hg  0.000  0.000  0.000  0.00

Values from the calculation:
ρ = 14.565 Mg/m³
excess energy over the best structure of this formula in the dataset = 341 meV/atom
DFT formation energy = 1.33 eV per atom

=====

A plane-wave DFT calculation with PBE was carried out for an optimized crystal structure of ReSn3Hg.

Cell lengths 5.229, 5.229, 5.229 Å; angles 90.00, 90.00, 90.00 degrees
Fractional coordinates of all 5 atoms:
Sn  0.000  0.500  0.000
Re  0.000  0.000  0.000
Sn  0.500  0.000  0.000
Sn  0.000  0.000  0.500
Hg  0.500  0.500  0.500

Values from the calculation:
ρ = 8.629 Mg/m³
excess energy over the best structure of this formula in the dataset = 0 meV/atom
DFT formation energy = 0.26 eV per atom

=====

A plane-wave DFT calculation with PBE was carried out for an optimized crystal structure of ReSnHg2.

Cell lengths 8.615, 8.615, 6.649 Å; angles 49.63, 49.63, 90.00 degrees
Last column: magnetic moment on the atom in μB.
Fractional coordinates of all 8 atoms:
Hg  0.054  0.625  0.250  0.03
Re  0.750  0.250  0.500  0.88
Sn  0.250  0.750  0.500  -0.03
Hg  0.696  0.125  0.250  0.02
Hg  0.375  0.304  0.750  0.02
Hg  0.875  0.946  0.750  0.02
Re  0.000  0.000  0.000  0.88
Sn  0.500  0.500  0.000  -0.03

Values from the calculation:
ρ = 11.851 Mg/m³
DFT formation energy = 0.86 eV per atom

=====

A plane-wave DFT calculation with PBE was carried out for an optimized crystal structure of SrRe2Hg.

Cell lengths 5.362, 2.859, 5.377 Å; angles 86.41, 90.00, 90.00 degrees
Fractional coordinates of all 4 atoms:
Re  0.000  0.878  0.029
Re  0.000  0.622  0.471
Sr  0.500  0.250  0.250
Hg  0.500  0.750  0.750

Values from the calculation:
ρ = 13.333 Mg/m³
DFT formation energy = 0.94 eV per atom

=====

A plane-wave DFT calculation with PBE was carried out for an optimized crystal structure of SrRe2Hg.

Cell lengths 3.297, 4.703, 5.097 Å; angles 90.00, 90.00, 90.00 degrees
Fractional coordinates of all 4 atoms:
Sr  0.500  0.000  0.500
Hg  0.000  0.500  0.500
Re  0.000  0.000  0.000
Re  0.500  0.500  0.000

Values from the calculation:
ρ = 13.881 Mg/m³
DFT formation energy = 1.08 eV per atom

=====

A plane-wave DFT calculation with PBE was carried out for an optimized crystal structure of SrReHg2.

Cell lengths 4.807, 4.807, 3.887 Å; angles 90.00, 90.00, 90.00 degrees
Fractional coordinates of all 4 atoms:
Hg  0.000  0.000  0.000
Hg  0.500  0.500  0.000
Sr  0.000  0.500  0.500
Re  0.500  0.000  0.500

Values from the calculation:
ρ = 12.481 Mg/m³
excess energy over the best structure of this formula in the dataset = 158 meV/atom
DFT formation energy = 0.70 eV per atom

=====

A plane-wave DFT calculation with PBE was carried out for an optimized crystal structure of SrReHg.

Cell lengths 4.936, 4.936, 4.936 Å; angles 60.00, 60.00, 60.00 degrees
Last column: magnetic moment on the atom in μB.
Fractional coordinates of all 3 atoms:
Sr  0.000  0.000  0.000  0.08
Re  0.250  0.250  0.250  2.40
Hg  0.500  0.500  0.500  0.00

Values from the calculation:
ρ = 9.265 Mg/m³
excess energy over the best structure of this formula in the dataset = 359 meV/atom
DFT formation energy = 1.18 eV per atom

=====

A plane-wave DFT calculation with PBE was carried out for an optimized crystal structure of SrRe2Hg.

Cell lengths 4.601, 4.601, 10.504 Å; angles 77.35, 77.35, 90.00 degrees
Fractional coordinates of all 8 atoms:
Sr  0.500  0.500  0.000
Re  0.875  0.054  0.750
Re  0.946  0.625  0.250
Re  0.375  0.196  0.750
Hg  0.750  0.250  0.500
Re  0.804  0.125  0.250
Sr  0.250  0.750  0.500
Hg  0.000  0.000  0.000

Values from the calculation:
ρ = 10.375 Mg/m³
DFT formation energy = 1.07 eV per atom

=====

A plane-wave DFT calculation with PBE was carried out for an optimized crystal structure of SrReHg2.

Cell lengths 5.199, 5.199, 5.199 Å; angles 60.00, 60.00, 60.00 degrees
Last column: magnetic moment on the atom in μB.
Fractional coordinates of all 4 atoms:
Hg  0.250  0.250  0.250  0.00
Re  0.500  0.500  0.500  2.64
Hg  0.000  0.000  0.000  0.01
Sr  0.750  0.750  0.750  0.04

Values from the calculation:
ρ = 11.281 Mg/m³
excess energy over the best structure of this formula in the dataset = 331 meV/atom
DFT formation energy = 0.88 eV per atom

=====

A plane-wave DFT calculation with PBE was carried out for an optimized crystal structure of SrRe2Hg.

Cell lengths 10.518, 10.518, 10.518 Å; angles 16.00, 16.00, 16.00 degrees
Fractional coordinates of all 4 atoms:
Sr  0.250  0.250  0.250
Re  0.494  0.494  0.494
Re  0.006  0.006  0.006
Hg  0.750  0.750  0.750

Values from the calculation:
ρ = 14.230 Mg/m³
DFT formation energy = 1.22 eV per atom

=====

A plane-wave DFT calculation with PBE was carried out for an optimized crystal structure of SrRe2Hg.

Cell lengths 3.187, 3.180, 8.898 Å; angles 69.06, 90.00, 90.00 degrees
Fractional coordinates of all 4 atoms:
Re  0.500  0.312  0.189
Hg  0.500  0.711  0.789
Re  0.000  0.961  0.039
Sr  0.000  0.517  0.483

Values from the calculation:
ρ = 13.025 Mg/m³
DFT formation energy = 0.37 eV per atom

=====

A plane-wave DFT calculation with PBE was carried out for an optimized crystal structure of SrReHg2.

Cell lengths 5.085, 5.085, 5.085 Å; angles 60.00, 60.00, 60.00 degrees
Last column: magnetic moment on the atom in μB.
Fractional coordinates of all 4 atoms:
Hg  0.750  0.750  0.750  -0.01
Re  0.500  0.500  0.500  1.25
Sr  0.000  0.000  0.000  -0.03
Hg  0.250  0.250  0.250  -0.01

Values from the calculation:
ρ = 12.057 Mg/m³
excess energy over the best structure of this formula in the dataset = 127 meV/atom
DFT formation energy = 0.67 eV per atom

=====

A plane-wave DFT calculation with PBE was carried out for an optimized crystal structure of SrReHg2.

Cell lengths 5.710, 5.710, 5.710 Å; angles 134.78, 134.78, 65.87 degrees
Last column: magnetic moment on the atom in μB.
Fractional coordinates of all 4 atoms:
Hg  0.250  0.750  0.500  -0.01
Hg  0.000  0.000  0.000  -0.03
Re  0.500  0.500  0.000  1.37
Sr  0.750  0.250  0.500  0.01

Values from the calculation:
ρ = 12.133 Mg/m³
excess energy over the best structure of this formula in the dataset = 202 meV/atom
DFT formation energy = 0.75 eV per atom

=====

A plane-wave DFT calculation with PBE was carried out for an optimized crystal structure of SrReHg.

Cell lengths 3.133, 3.133, 7.801 Å; angles 90.00, 90.00, 120.00 degrees
Last column: magnetic moment on the atom in μB.
Fractional coordinates of all 3 atoms:
Re  0.667  0.333  0.325  0.16
Sr  0.333  0.667  0.654  -0.01
Hg  0.000  0.000  0.021  0.00

Values from the calculation:
ρ = 11.878 Mg/m³
excess energy over the best structure of this formula in the dataset = 188 meV/atom
DFT formation energy = 1.01 eV per atom

=====

A plane-wave DFT calculation with PBE was carried out for an optimized crystal structure of SrRe3Hg.

Cell lengths 5.047, 5.047, 5.047 Å; angles 90.00, 90.00, 90.00 degrees
Last column: magnetic moment on the atom in μB.
Fractional coordinates of all 5 atoms:
Re  0.500  0.000  0.000  0.97
Hg  0.000  0.000  0.000  0.06
Re  0.000  0.000  0.500  1.52
Sr  0.500  0.500  0.500  0.02
Re  0.000  0.500  0.000  1.22

Values from the calculation:
ρ = 10.936 Mg/m³
excess energy over the best structure of this formula in the dataset = 0 meV/atom
DFT formation energy = 2.70 eV per atom

=====

A plane-wave DFT calculation with PBE was carried out for an optimized crystal structure of SrReHg2.

Cell lengths 3.713, 3.713, 7.237 Å; angles 90.00, 90.00, 90.00 degrees
Fractional coordinates of all 4 atoms:
Re  0.000  0.000  0.425
Hg  0.000  0.000  0.037
Hg  0.500  0.500  0.303
Sr  0.500  0.500  0.735

Values from the calculation:
ρ = 11.235 Mg/m³
excess energy over the best structure of this formula in the dataset = 79 meV/atom
DFT formation energy = 0.63 eV per atom

=====

A plane-wave DFT calculation with PBE was carried out for an optimized crystal structure of SrRe2Hg.

Cell lengths 6.447, 6.447, 5.566 Å; angles 52.54, 52.54, 34.51 degrees
Fractional coordinates of all 4 atoms:
Re  0.482  0.482  0.397
Sr  0.250  0.250  0.250
Hg  0.750  0.750  0.750
Re  0.018  0.018  0.103

Values from the calculation:
ρ = 10.856 Mg/m³
DFT formation energy = 0.71 eV per atom

=====

A plane-wave DFT calculation with PBE was carried out for an optimized crystal structure of SrRe2Hg.

Cell lengths 5.790, 5.790, 2.718 Å; angles 90.00, 90.00, 119.56 degrees
Fractional coordinates of all 4 atoms:
Hg  0.000  0.500  0.500
Re  0.000  0.000  0.000
Re  0.500  0.500  0.000
Sr  0.500  0.000  0.500

Values from the calculation:
ρ = 13.843 Mg/m³
DFT formation energy = 1.22 eV per atom